This record from Alexandria describes Mn2ReHIr after structural relaxation. The functional is PBE.

extended XYZ file:
```
5
Lattice="3.792 0.000 0.000 0.000 3.792 0.000 0.000 0.000 3.735" Properties=species:S:1:pos:R:3 pbc="T T T"
H 0.000 0.000 0.000
Ir 0.000 0.000 1.868
Re 1.896 1.896 1.868
Mn 0.000 1.896 0.000
Mn 1.896 0.000 0.000
```

Summary:
* magnetic moment: 1.2 μB/cell
* energy relative to the lowest polymorph listed for this composition: 9 meV/atom